The following is a DFT calculation (PBE-GGA) of BeTcTe2 after structural relaxation.

The crystal system is cubic. The total moment is 0.000 μB per cell. As for the density of states at the Fermi level: 2.3 states/eV/f.u. The value obtained for the total DFT energy (no corrections) is -4.08 eV/atom. The value obtained for the formation energy from raw total energies is 1.0160 eV/atom.

It has space group F-43m (No. 216), with a = 6.7278 Å, b = 6.7278 Å, c = 6.7278 Å, α = 90.00°, β = 90.00° and γ = 90.00°. The inequivalent atoms are Be at (0.0000, 0.0000, 0.0000), Tc at (0.2500, 0.2500, 0.7500), Te at (0.0000, 0.0000, 0.5000) and Te at (0.2500, 0.2500, 0.2500).

***

The following is a DFT calculation (PBE-GGA) of GdZrOs2 after structural relaxation.

The crystal system is tetragonal. The total moment is 7.028 μB per cell. As for the formation energy: -0.2555 eV per atom. As for the density of states at the Fermi level: 2.4 states/eV/f.u. The value obtained for the total DFT energy (no corrections) is -11.53 eV/atom.

It has space group P4/mmm (No. 123), with a = 3.3349 Å, b = 3.3349 Å, c = 6.8315 Å, α = 90.00°, β = 90.00° and γ = 90.00°. The inequivalent atoms are Gd at (0.0000, 0.0000, 0.0000), Zr at (0.0000, 0.0000, 0.5000) and Os at (0.5000, 0.5000, 0.2698).

***

The following is a DFT calculation (PBE-GGA) of U2TeAs3 after structural relaxation.

The crystal system is tetragonal. The total moment is 3.590 μB per cell. As for the density of states at the Fermi level: 12.5 states/eV/f.u. The value obtained for the total DFT energy (no corrections) is -7.21 eV/atom. The value obtained for the formation energy from raw total energies is -0.5947 eV/atom.

It has space group P-4m2 (No. 115), with a = 4.0750 Å, b = 4.0750 Å, c = 8.2389 Å, α = 90.00°, β = 90.00° and γ = 90.00°. The inequivalent atoms are U at (0.0000, 0.5000, 0.2076), Te at (0.0000, 0.0000, 0.5000), As at (0.0000, 0.5000, 0.8576) and As at (0.5000, 0.5000, 0.5000).

***

The following is a DFT calculation (PBE-GGA) of LiReSe2 after structural relaxation.

The crystal system is tetragonal. The total moment is 0.000 μB per cell. Its energy above the lowest structure with this stoichiometry is 308 meV/atom. As for the density of states at the Fermi level: 2.4 states/eV/f.u. The value obtained for the total DFT energy (no corrections) is -5.27 eV/atom. The value obtained for the formation energy from raw total energies is 0.0661 eV/atom.

It has space group P4mm (No. 99), with a = 2.9798 Å, b = 2.9798 Å, c = 8.6905 Å, α = 90.00°, β = 90.00° and γ = 90.00°. The inequivalent atoms are Li at (0.0000, 0.0000, 0.0000), Re at (0.5000, 0.5000, 0.2493), Se at (0.0000, 0.0000, 0.4057) and Se at (0.5000, 0.5000, 0.7980).

***

The highest density of states at the Fermi level belongs to which entry? U2TeAs3